#w
# Ag2SeBr (PBE, relaxed)
data_Ag2SeBr
_chemical_formula_sum 'Ag2 Se1 Br1'
_symmetry_space_group_name_H-M 'P 1'
_symmetry_Int_Tables_number 1
_cell_length_a 6.017
_cell_length_b 6.017
_cell_length_c 6.017
_cell_angle_alpha 144.30
_cell_angle_beta 91.23
_cell_angle_gamma 99.59
loop_
_symmetry_equiv_pos_as_xyz
'x,y,z'
loop_
_atom_site_label
_atom_site_fract_x
_atom_site_fract_y
_atom_site_fract_z
Br1 0.750 0.250 0.500
Ag1 0.012 0.012 0.000
Ag2 0.488 0.488 0.000
Se1 0.250 0.750 0.500
# SG = Immm (71)

#x
# Ag2SeBr (PBE, relaxed)
data_Ag2SeBr
_chemical_formula_sum 'Ag2 Se1 Br1'
_symmetry_space_group_name_H-M 'P 1'
_symmetry_Int_Tables_number 1
_cell_length_a 4.444
_cell_length_b 4.444
_cell_length_c 6.790
_cell_angle_alpha 89.46
_cell_angle_beta 89.46
_cell_angle_gamma 48.79
loop_
_symmetry_equiv_pos_as_xyz
'x,y,z'
loop_
_atom_site_label
_atom_site_fract_x
_atom_site_fract_y
_atom_site_fract_z
Ag1 0.949 0.949 0.191
Br1 0.493 0.493 0.525
Se1 0.250 0.250 0.030
Ag2 0.808 0.808 0.753
# SG = Cm (8)

#y
# Ag2SeBr (PBE, relaxed)
data_Ag2SeBr
_chemical_formula_sum 'Ag2 Se1 Br1'
_symmetry_space_group_name_H-M 'P 1'
_symmetry_Int_Tables_number 1
_cell_length_a 8.199
_cell_length_b 8.199
_cell_length_c 8.199
_cell_angle_alpha 153.22
_cell_angle_beta 153.22
_cell_angle_gamma 38.24
loop_
_symmetry_equiv_pos_as_xyz
'x,y,z'
loop_
_atom_site_label
_atom_site_fract_x
_atom_site_fract_y
_atom_site_fract_z
Br1 0.500 0.500 0.000
Ag1 0.000 0.000 0.000
Ag2 0.250 0.750 0.500
Se1 0.750 0.250 0.500
# SG = I-4m2 (119)

Stability check: which of them is least stable? #y.

#w
# Ag4Se2Br (PBE, relaxed)
data_Ag4Se2Br
_chemical_formula_sum 'Ag16 Se8 Br4'
_symmetry_space_group_name_H-M 'P 1'
_symmetry_Int_Tables_number 1
_cell_length_a 3.916
_cell_length_b 12.046
_cell_length_c 14.100
_cell_angle_alpha 90.00
_cell_angle_beta 90.00
_cell_angle_gamma 90.02
loop_
_symmetry_equiv_pos_as_xyz
'x,y,z'
loop_
_atom_site_label
_atom_site_fract_x
_atom_site_fract_y
_atom_site_fract_z
Ag1 0.202 0.421 0.955
Se1 0.054 0.595 0.355
Ag2 0.560 0.249 0.146
Ag3 0.798 0.079 0.455
Ag4 0.440 0.751 0.854
Ag5 0.440 0.251 0.646
Ag6 0.451 0.501 0.750
Ag7 0.549 0.999 0.250
Ag8 0.204 0.079 0.956
Ag9 0.202 0.921 0.545
Se2 0.947 0.596 0.856
Se3 0.054 0.095 0.145
Se4 0.946 0.405 0.645
Se5 0.053 0.904 0.356
Ag10 0.796 0.921 0.044
Ag11 0.204 0.579 0.544
Se6 0.946 0.905 0.855
Ag12 0.451 0.001 0.750
Br1 0.565 0.750 0.611
Br2 0.435 0.250 0.389
Ag13 0.796 0.421 0.456
Br3 0.565 0.250 0.889
Se7 0.053 0.404 0.144
Se8 0.947 0.096 0.644
Ag14 0.560 0.749 0.354
Ag15 0.549 0.499 0.250
Ag16 0.798 0.579 0.045
Br4 0.435 0.750 0.111
# SG = P2_1/c (14)

#x
# Ag4Se2Br (PBE, relaxed)
data_Ag4Se2Br
_chemical_formula_sum 'Ag8 Se4 Br2'
_symmetry_space_group_name_H-M 'P 1'
_symmetry_Int_Tables_number 1
_cell_length_a 8.071
_cell_length_b 8.074
_cell_length_c 8.078
_cell_angle_alpha 120.59
_cell_angle_beta 119.27
_cell_angle_gamma 90.21
loop_
_symmetry_equiv_pos_as_xyz
'x,y,z'
loop_
_atom_site_label
_atom_site_fract_x
_atom_site_fract_y
_atom_site_fract_z
Ag1 0.862 0.583 0.721
Se1 0.625 0.875 0.250
Ag2 0.389 0.611 0.777
Se2 0.125 0.375 0.750
Ag3 0.388 0.167 0.778
Br1 0.248 0.748 0.500
Ag4 0.861 0.140 0.278
Ag5 0.416 0.138 0.277
Br2 0.002 0.002 0.000
Se3 0.625 0.375 0.250
Ag6 0.861 0.139 0.723
Se4 0.625 0.375 0.750
Ag7 0.834 0.612 0.223
Ag8 0.389 0.610 0.222
# SG = P-1 (2)

Stability check: which of them is least stable? #x.

#w
# AgSeBr (PBE, relaxed)
data_AgSeBr
_chemical_formula_sum 'Ag1 Se1 Br1'
_symmetry_space_group_name_H-M 'P 1'
_symmetry_Int_Tables_number 1
_cell_length_a 4.741
_cell_length_b 4.741
_cell_length_c 4.741
_cell_angle_alpha 60.00
_cell_angle_beta 60.00
_cell_angle_gamma 60.00
loop_
_symmetry_equiv_pos_as_xyz
'x,y,z'
loop_
_atom_site_label
_atom_site_fract_x
_atom_site_fract_y
_atom_site_fract_z
Ag1 0.750 0.750 0.750
Br1 0.000 0.000 0.000
Se1 0.500 0.500 0.500
# SG = F-43m (216)

#x
# AgSeBr (PBE, relaxed)
data_AgSeBr
_chemical_formula_sum 'Ag2 Se2 Br2'
_symmetry_space_group_name_H-M 'P 1'
_symmetry_Int_Tables_number 1
_cell_length_a 6.751
_cell_length_b 4.378
_cell_length_c 6.331
_cell_angle_alpha 98.71
_cell_angle_beta 106.77
_cell_angle_gamma 92.21
loop_
_symmetry_equiv_pos_as_xyz
'x,y,z'
loop_
_atom_site_label
_atom_site_fract_x
_atom_site_fract_y
_atom_site_fract_z
Se1 0.134 0.344 0.665
Br1 0.721 0.039 0.358
Ag1 0.942 0.680 0.170
Se2 0.115 0.231 0.017
Ag2 0.419 0.586 0.304
Br2 0.488 0.595 0.758
# SG = P1 (1)

Stability check: which of them is least stable? #w.